9
Lattice="-2.672 -1.931 1.379 5.150 -6.765 -4.125 2.764 2.428 8.760" Properties=species:S:1:pos:R:3 comment="Pm2Y2ErTm4 PBE relaxed" final_energy_ev_per_cell=-44.89 total_magnetization_mub_per_fu=0.00 pbc="T T T"
Pm 5.312 -2.750 6.446
Pm -0.070 -3.518 -0.433
Y 2.291 -5.608 1.218
Y 2.951 -0.659 4.796
Er 0.000 0.000 0.000
Tm 2.901 -4.226 4.336
Tm 2.341 -2.042 1.678
Tm -0.266 -0.454 3.481
Tm 5.508 -5.814 2.533

***

18
Lattice="5.617 0.000 0.000 -2.808 10.087 0.000 0.000 0.000 10.711" Properties=species:S:1:pos:R:3 comment="Pm5YErTm2 PBE relaxed" final_energy_ev_per_cell=-84.80 total_magnetization_mub_per_fu=0.00 pbc="T T T"
Pm 0.000 7.809 0.229
Pm 2.808 4.411 8.681
Pm 0.000 9.727 7.953
Pm 0.000 6.024 7.580
Pm 2.808 9.747 5.556
Pm 2.808 2.278 5.585
Pm 0.000 5.675 3.325
Pm 2.808 0.360 2.597
Pm 2.808 4.063 2.224
Pm 0.000 0.340 0.201
Y 2.808 6.066 5.472
Y 0.000 4.021 0.117
Er 2.808 1.819 10.299
Er 0.000 8.268 4.944
Tm 2.808 7.779 8.688
Tm 0.000 2.240 7.922
Tm 0.000 2.308 3.332
Tm 2.808 7.847 2.567

***

12
Lattice="-3.365 0.348 -0.929 -4.545 -4.853 14.645 0.071 6.552 2.194" Properties=species:S:1:pos:R:3 comment="PmY2Er2Tm PBE relaxed" final_energy_ev_per_cell=-60.62 total_magnetization_mub_per_fu=0.05 pbc="T T T"
Pm 0.000 0.000 0.000
Pm -3.919 1.023 7.955
Y -5.473 -2.257 12.354
Y -2.365 4.304 3.555
Y -2.956 1.699 11.340
Y -1.518 0.000 5.498
Er -2.349 1.090 2.293
Er -2.940 -1.529 10.074
Er -5.489 0.957 13.616
Er -1.534 3.228 6.764
Tm -3.955 -2.253 6.858
Tm 0.036 3.276 1.097

***

4
Lattice="3.545 0.000 0.000 0.000 3.545 0.000 0.000 0.000 8.681" Properties=species:S:1:pos:R:3 comment="PmErTmZn PBE relaxed" final_energy_ev_per_cell=-15.73 total_magnetization_mub_per_fu=0.00 pbc="T T T"
Pm 0.000 0.000 0.626
Er 1.773 1.773 6.711
Tm 1.773 1.773 3.210
Zn 0.000 0.000 4.946

***

What is the formula in the fourth record?
PmErTmZn